This record from the Alexandria database describes a geometry-optimized W2AuBr structure. The functional is GGA-PBE.

The structure in CIF format:
```
data_W2AuBr
_space_group_name_H-M_alt 'I -4 2 d'
_space_group_IT_number 122
_space_group_name_Hall 'I -4 2bw'
_cell_length_a 3.9460
_cell_length_b 3.9460
_cell_length_c 19.9877
_cell_angle_alpha 90.00
_cell_angle_beta 90.00
_cell_angle_gamma 90.00
loop_
_atom_site_label
_atom_site_fract_x
_atom_site_fract_y
_atom_site_fract_z
_atom_site_occupancy
W1 0.2069 0.2500 0.1250 1
Au1 0.0000 0.0000 0.0000 1
Br1 0.0000 0.0000 0.5000 1
```

Properties
E_form (uncorrected) = 1.23 eV per atom
energy relative to the lowest polymorph listed for this composition = 678 meV/atom
V = 19.5 A^3/atom
DFT total energy = -6.4854 eV/atom